52
Lattice="-7.474 -3.082 4.484 -1.630 -9.555 0.084 0.677 -1.341 9.576" Properties=species:S:1:pos:R:3 comment="PBEsol K3VMo3H4O15, optimized geometry" final_energy_ev_per_atom=-7.27 space_group="No. 12" n_ef_per_ev_cell=0.000 pbc="T T T"
K -3.737 -1.541 2.242
K -2.343 -4.612 1.230
K -1.448 -1.424 4.915
K -6.084 -9.365 12.913
K -6.979 -12.554 9.229
K -0.477 -5.448 4.830
V -8.277 -12.692 12.994
V -0.150 -1.286 1.149
Mo -4.150 -9.357 9.106
Mo -4.277 -4.621 5.038
Mo -2.849 -8.065 2.120
Mo -1.356 -2.750 8.262
Mo -5.578 -5.912 12.024
Mo -7.071 -11.227 5.882
H -1.779 -7.138 8.037
H -2.163 -8.504 6.458
H -6.648 -6.840 6.107
H -6.264 -5.474 7.686
H -1.982 -5.673 7.512
H -2.552 -7.703 5.166
H -6.445 -8.305 6.632
H -5.875 -6.275 8.978
O -2.288 -8.777 8.152
O -6.139 -5.201 5.992
O -7.210 -11.905 12.055
O -1.217 -2.073 2.089
O -4.044 -8.879 3.051
O -2.534 -3.504 9.263
O -4.383 -5.099 11.093
O -5.893 -10.474 4.881
O -8.679 -10.485 5.095
O -7.042 -4.658 11.830
O 0.252 -3.492 9.049
O -1.385 -9.320 2.314
O -5.261 -10.218 10.121
O -3.166 -3.760 4.023
O -3.268 -8.407 10.509
O -3.924 -10.743 7.810
O -5.159 -5.571 3.634
O -4.503 -3.235 6.334
O -2.323 -10.814 9.922
O -6.104 -3.164 4.222
O -5.099 -8.175 8.313
O -3.329 -5.803 5.830
O -2.304 -6.768 3.100
O -1.412 -3.593 6.769
O -6.123 -7.210 11.044
O -7.015 -10.385 7.375
O -1.382 -6.223 8.061
O -2.011 -8.463 5.473
O -7.045 -7.755 6.083
O -6.416 -5.515 8.671

24
Lattice="5.885 0.029 0.000 -1.936 5.558 0.000 0.000 0.000 6.517" Properties=species:S:1:pos:R:3 comment="PBEsol KH8N3, optimized geometry" final_energy_ev_per_atom=-4.82 space_group="No. 20" n_ef_per_ev_cell=0.000 pbc="T T T"
H 1.271 4.378 3.422
H 2.797 0.430 3.623
H 1.661 2.293 4.061
H 1.679 5.119 4.820
H -0.316 2.297 4.955
H 2.342 3.256 5.714
H 4.477 2.807 6.152
H 0.246 2.928 6.353
H 2.678 1.209 0.163
H 1.152 5.157 0.365
H 2.288 3.294 0.803
H 2.270 0.469 1.562
H 4.265 3.291 1.696
H 1.607 2.331 2.455
H -0.528 2.780 2.893
H 3.703 2.660 3.095
K -1.461 5.222 4.888
K 5.410 0.365 1.629
N 1.258 1.780 3.258
N 1.610 5.275 3.802
N -0.486 2.309 5.973
N 2.691 3.807 0.000
N 2.339 0.312 0.543
N 4.436 3.278 2.715

36
Lattice="-6.517 2.230 4.145 -3.004 -3.413 -6.630 2.933 -6.195 4.201" Properties=species:S:1:pos:R:3 comment="PBEsol KPHNO2, optimized geometry" final_energy_ev_per_atom=-6.48 space_group="No. 148" n_ef_per_ev_cell=0.000 pbc="T T T"
H -4.222 -2.835 -4.975
H -5.416 0.456 4.590
H 1.756 -6.449 2.438
H -2.366 -4.543 6.692
H -1.172 -7.835 -2.874
H -8.345 -0.930 -0.722
K -0.347 -5.022 1.110
K -3.907 -2.597 -2.134
K -3.833 -1.439 3.131
K -6.241 -2.357 0.606
K -2.681 -4.781 3.851
K -2.755 -5.940 -1.415
N -1.651 -0.363 1.477
N 0.134 -2.180 0.517
N -1.638 -0.990 -1.172
N -4.937 -7.016 0.240
N -6.723 -5.199 1.199
N -4.950 -6.388 2.888
O -2.563 -4.444 -3.832
O -6.041 0.047 2.123
O 0.153 -5.067 3.911
O -4.025 -2.935 5.548
O -0.548 -7.425 -0.406
O -6.741 -2.311 -2.194
O -1.480 -2.752 2.498
O -1.445 -3.596 -0.994
O -3.810 -1.195 0.250
O -5.108 -4.627 -0.782
O -5.144 -3.783 2.710
O -2.778 -6.184 1.467
P -0.637 -1.647 1.923
P -0.628 -2.333 -0.991
P -2.588 -0.335 0.071
P -5.952 -5.732 -0.207
P -5.961 -5.046 2.707
P -4.000 -7.044 1.646

24
Lattice="-2.177 4.262 -5.816 0.760 -5.581 -4.375 -6.599 0.299 2.690" Properties=species:S:1:pos:R:3 comment="PBEsol K2HS2NO6, optimized geometry" e_above_lowest_polymorph_ev_per_fu=0.26 space_group="No. 7" n_ef_per_ev_cell=0.000 pbc="T T T"
K -5.148 -3.877 -4.047
K -1.457 -1.938 -3.331
K -2.918 2.968 -4.031
K -6.307 0.438 -3.940
H -5.228 0.719 -7.254
H -3.438 -0.738 0.729
S -5.586 -1.507 -7.006
S -3.315 0.228 -6.051
S -2.543 0.763 -0.785
S -4.576 -1.439 -1.104
N -4.663 -0.121 -7.006
N -3.353 -0.638 -0.304
O -5.526 3.039 -3.277
O -3.727 0.222 -4.648
O -2.754 -3.729 -5.251
O -3.944 -2.107 -2.250
O -5.928 -1.864 -5.621
O -2.324 -0.807 -6.344
O -1.925 0.459 -2.075
O -5.595 -0.469 -1.529
O -6.742 -1.114 -7.790
O -2.963 1.559 -6.530
O -0.840 -4.643 -4.061
O -5.059 -2.361 -0.093

30
Lattice="-2.573 -3.220 -5.280 6.902 -3.608 1.270 -4.719 -4.407 5.150" Properties=species:S:1:pos:R:3 comment="PBEsol K3H2S2NO7, optimized geometry" final_energy_ev_per_atom=-5.76 space_group="No. 2" n_ef_per_ev_cell=0.000 pbc="T T T"
K 4.573 -5.477 0.739
K -4.964 -5.759 0.402
K -1.949 -9.020 1.472
K 1.558 -2.215 -0.331
K -1.221 -4.773 1.640
K 0.830 -6.462 -0.499
H 1.932 -3.827 1.945
H -2.323 -7.409 -0.804
H 2.079 -5.410 2.104
H -2.469 -5.825 -0.963
S 2.699 -7.028 4.165
S -3.090 -4.207 -3.024
S -0.029 -7.236 3.619
S -0.362 -3.999 -2.478
N 1.298 -7.811 4.319
N -1.688 -3.425 -3.178
O 0.066 -8.963 -0.391
O -0.456 -2.273 1.532
O -3.200 -4.311 3.502
O 2.810 -6.924 -2.361
O 3.008 -6.807 2.723
O -3.398 -4.428 -1.583
O -0.358 -5.864 4.102
O -0.033 -5.371 -2.961
O 0.103 -7.231 2.142
O -0.493 -4.005 -1.002
O 3.635 -3.771 -1.115
O -4.025 -7.465 2.256
O 1.729 -4.693 1.510
O -2.119 -6.543 -0.369

24
Lattice="-2.002 -6.644 -1.768 3.206 -2.542 6.033 -7.005 1.979 0.383" Properties=species:S:1:pos:R:3 comment="PBEsol K2HS2NO6, optimized geometry" e_above_lowest_polymorph_ev_per_fu=0.00 space_group="No. 9" n_ef_per_ev_cell=0.000 pbc="T T T"
K -6.208 0.267 1.924
K 0.422 -4.246 5.498
K -6.146 -2.897 -0.756
K 0.523 -7.405 2.754
H -2.186 -2.583 2.460
H -3.515 -5.953 2.129
S -1.795 -1.777 4.556
S -4.349 -2.332 3.185
S -1.560 -4.916 1.584
S -3.949 -5.446 -0.067
N -2.699 -2.024 3.181
N -3.177 -5.269 1.414
O -1.394 0.026 1.013
O -0.429 -1.803 4.050
O -4.931 -1.230 3.952
O -2.079 -2.844 5.519
O -4.679 -2.306 1.767
O -1.397 -3.515 1.155
O -4.594 -3.621 3.841
O -1.339 -5.111 3.011
O -3.645 -4.213 -0.794
O -0.776 -5.825 0.744
O -5.346 -5.579 0.319
O -4.200 -7.104 3.313

5
Lattice="3.798 0.000 0.000 0.000 3.798 0.000 0.000 0.000 6.280" Properties=species:S:1:pos:R:3 comment="PBEsol KHRu2N, optimized geometry" final_energy_ev_per_atom=-5.94 space_group="No. 123" n_ef_per_ev_cell=5.788 pbc="T T T"
Ru 0.000 1.899 0.000
Ru 1.899 0.000 0.000
K 1.899 1.899 3.140
H 0.000 0.000 3.140
N 0.000 0.000 0.000

5
Lattice="3.222 0.000 0.000 0.000 4.439 0.000 0.000 0.000 4.439" Properties=species:S:1:pos:R:3 comment="PBEsol KHSN2, optimized geometry" e_above_lowest_polymorph_ev_per_fu=0.00 space_group="No. 123" n_ef_per_ev_cell=2.763 pbc="T T T"
H 0.000 0.000 0.000
K 1.611 2.219 2.219
S 1.611 0.000 0.000
N 0.000 0.000 2.219
N 0.000 2.219 0.000

5
Lattice="-5.647 -1.064 0.508 0.058 -2.730 -5.081 1.229 -5.186 2.800" Properties=species:S:1:pos:R:3 comment="PBEsol KHSN2, optimized geometry" e_above_lowest_polymorph_ev_per_fu=4.73 space_group="No. 123" n_ef_per_ev_cell=5.698 pbc="T T T"
H -2.180 -4.490 -0.887
K 0.000 0.000 0.000
S 0.615 -2.593 1.400
N 0.029 -1.365 -2.541
N -2.823 -0.532 0.254

104
Lattice="-8.903 -1.007 6.021 3.749 -9.304 3.987 4.817 5.379 8.023" Properties=species:S:1:pos:R:3 comment="PBEsol K3Si6H6N11, optimized geometry" final_energy_ev_per_atom=-6.73 space_group="No. 213" n_ef_per_ev_cell=0.000 pbc="T T T"
K -0.267 -3.908 14.289
K -4.112 -1.070 7.434
K 2.657 0.876 8.092
K -2.466 1.520 7.106
K 1.048 -5.761 6.247
K -0.322 -4.722 17.265
K 3.950 -1.382 6.432
K -1.835 -5.279 5.258
K -0.126 -1.849 6.762
K 5.445 -1.234 10.265
K -1.682 -8.098 8.255
K -4.310 1.318 10.781
Si 1.619 -0.599 4.012
Si 3.127 -3.124 12.061
Si -4.461 -6.784 9.905
Si -1.334 0.133 4.157
Si -3.017 0.881 14.791
Si -0.959 0.644 10.084
Si -2.044 -0.544 12.670
Si 0.006 -4.332 9.210
Si 5.325 -4.699 10.658
Si -3.417 -1.638 4.102
Si -2.620 -4.753 8.577
Si 5.755 -4.774 7.959
Si -0.501 -2.698 3.398
Si -5.285 -6.038 7.408
Si -1.481 2.444 12.485
Si -1.788 -1.949 9.828
Si 3.062 -3.466 9.035
Si 5.243 -3.725 13.686
Si -1.753 -6.144 11.144
Si 1.157 1.848 5.141
Si -2.987 -8.304 12.280
Si 1.240 -1.652 9.966
Si -0.946 3.823 10.186
Si 2.020 -3.731 3.631
H 3.584 -4.120 5.258
H 1.206 0.445 10.887
H -7.272 -1.161 7.758
H 0.283 2.724 7.068
H 2.211 1.988 10.845
H 1.809 -5.028 12.159
H -3.741 -3.145 9.812
H 3.637 -4.480 7.064
H 2.619 -8.506 5.934
H -6.634 -2.518 6.688
H 0.166 -0.937 13.248
H 0.112 -4.853 11.465
H -4.196 -3.426 5.303
H -1.823 -2.726 12.011
H 4.225 3.400 9.220
H -4.161 -4.045 7.038
H -2.678 -4.338 12.264
H 2.765 -6.925 8.417
H 1.976 -5.499 9.275
H 2.546 3.833 8.597
H -5.511 -2.893 9.365
H 0.096 2.251 8.839
H 1.045 -2.182 12.213
H 3.697 -7.040 5.645
N 1.953 0.366 5.368
N 4.256 -2.457 13.139
N -4.943 -7.379 8.391
N -2.645 -0.465 5.055
N -3.435 -0.252 13.599
N -1.938 -0.394 9.164
N -1.038 -4.831 7.968
N 6.444 -4.316 9.441
N 0.419 -3.894 4.174
N -2.048 3.680 11.469
N 2.491 -1.879 8.841
N -1.536 -7.771 11.578
N -0.074 -1.079 3.945
N 3.888 -3.685 10.575
N -2.906 -5.962 9.826
N -6.717 -5.169 7.952
N -1.582 0.862 11.717
N -0.179 -2.620 9.578
N 0.611 4.449 10.720
N 5.612 -6.523 7.812
N 2.556 -2.074 3.911
N 1.841 -2.040 11.579
N -4.314 -7.997 11.158
N -0.555 1.542 4.842
N 4.534 2.533 9.677
N -0.756 2.248 9.414
N -2.177 -1.880 11.548
N 1.708 -4.586 8.887
N 5.938 -4.554 12.292
N -4.638 -2.575 4.936
N -3.880 -4.971 7.381
N -2.277 -5.236 12.563
N -2.232 -2.849 3.610
N -0.730 -1.033 13.741
N -2.323 2.305 14.013
N -2.918 -3.129 9.199
N 4.176 -4.003 7.796
N 1.828 -8.601 6.581
N -0.294 -5.316 10.643
N 1.147 2.899 6.541
N -6.825 -0.725 8.574
N 0.684 0.000 10.122
N 2.276 -4.444 12.864
N 3.193 -4.695 4.502

5
Lattice="3.956 0.000 0.000 0.000 3.956 0.000 0.000 0.000 6.490" Properties=species:S:1:pos:R:3 comment="PBEsol KTi2HN, optimized geometry" final_energy_ev_per_atom=-5.86 space_group="No. 123" n_ef_per_ev_cell=5.079 pbc="T T T"
H 1.978 1.978 3.245
K 0.000 0.000 3.245
N 0.000 0.000 0.000
Ti 0.000 1.978 0.000
Ti 1.978 0.000 0.000

42
Lattice="-3.496 -3.277 -4.269 -2.425 -5.733 1.563 -10.792 1.710 2.701" Properties=species:S:1:pos:R:3 comment="PBEsol K2ZrH12N6, optimized geometry" final_energy_ev_per_atom=-5.40 space_group="No. 167" n_ef_per_ev_cell=0.000 pbc="T T T"
H -7.599 -5.484 -0.325
H -6.390 -3.773 0.396
H -7.220 -3.756 -1.658
H -6.501 -7.585 -1.411
H -5.217 -3.718 -3.327
H -3.987 -4.652 0.903
H -9.115 -1.815 0.319
H -10.324 -3.526 -0.402
H -9.494 -3.544 1.652
H -10.213 0.286 1.406
H -11.497 -3.582 3.322
H -12.726 -2.648 -0.908
H -7.855 -5.000 1.220
H -6.995 -2.348 -0.142
H -8.727 -4.400 -1.697
H -3.426 -3.237 -2.382
H -1.495 -0.998 -0.583
H -2.494 -3.977 0.869
H -8.858 -2.300 -1.226
H -9.719 -4.952 0.137
H -7.987 -2.899 1.691
H -13.287 -4.062 2.376
H -15.219 -6.302 0.578
H -14.220 -3.323 -0.874
K -7.384 -0.111 1.309
K -11.764 -1.828 1.390
K -9.329 -7.188 -1.314
K -4.949 -5.471 -1.395
N -7.595 -5.818 0.650
N -6.142 -2.786 0.238
N -7.917 -4.171 -2.293
N -3.741 -2.295 -2.105
N -2.129 -1.061 0.228
N -3.469 -3.827 0.567
N -9.119 -1.481 -0.655
N -10.572 -4.514 -0.244
N -8.797 -3.128 2.287
N -12.972 -5.005 2.099
N -14.585 -6.238 -0.233
N -13.245 -3.472 -0.572
Zr -4.178 -1.825 -0.001
Zr -12.535 -5.475 -0.004